## one
TcAu3Se | GGA-PBE | optimized geometry

Cell: 4.947 4.947 4.947 Å, 90.00 90.00 90.00°
Space group Pm-3m (No. 221)
One atom of each set of equivalent atoms:
Tc1 0.000 0.000 0.000 [1 per cell]
Au1 0.000 0.500 0.500 [3 per cell]
Se1 0.500 0.500 0.500 [1 per cell]

Calculated values
As for the spin magnetization: 3.71 Bohr magnetons per cell.



## two
TcAu3Se | GGA-PBE | optimized geometry

Cell: 4.999 4.999 4.999 Å, 90.00 90.00 90.00°
Space group Pm-3m (No. 221)
One atom of each set of equivalent atoms:
Tc1 0.000 0.000 0.000 [1 per cell]
Au1 0.000 0.000 0.500 [3 per cell]
Se1 0.500 0.500 0.500 [1 per cell]

Calculated values
As for the spin magnetization: 0.01 Bohr magnetons per cell.



Which of them is the most stable, and which is the least stable? one and two, in that order.



## one
Te2AuSe | GGA-PBE | optimized geometry

Cell: 4.144 4.144 5.981 Å, 90.00 90.00 90.00°
Space group P4/mmm (No. 123)
One atom of each set of equivalent atoms:
Te1 0.000 0.000 0.000 [1 per cell]
Te2 0.500 0.500 0.500 [1 per cell]
Au1 0.000 0.000 0.500 [1 per cell]
Se1 0.500 0.500 0.000 [1 per cell]

Calculated values
As for the spin magnetization: 0.00 Bohr magnetons per cell.



## two
Te2AuSe | GGA-PBE | optimized geometry

Cell: 3.990 7.800 8.508 Å, 90.00 90.00 90.00°
Space group Immm (No. 71)
One atom of each set of equivalent atoms:
Te1 0.000 0.240 0.000 [4 per cell]
Au1 0.000 0.500 0.500 [2 per cell]
Se1 0.000 0.000 0.500 [2 per cell]

Calculated values
As for the spin magnetization: 0.00 Bohr magnetons per cell.



## three
Te2AuSe | GGA-PBE | optimized geometry

Cell: 4.183 4.183 11.708 Å, 90.00 90.00 90.00°
Space group I4mm (No. 107)
One atom of each set of equivalent atoms:
Te1 0.000 0.000 0.000 [2 per cell]
Te2 0.000 0.000 0.258 [2 per cell]
Au1 0.000 0.000 0.757 [2 per cell]
Se1 0.000 0.000 0.520 [2 per cell]

Calculated values
As for the spin magnetization: 0.00 Bohr magnetons per cell.



Which of them is the most stable, and which is the least stable? three and two, in that order.